No. 1
DFT (PBE) results for a relaxed structure of CsTi3F.

Lattice parameters (Å, degrees): 4.530 4.530 4.530 90.00 90.00 90.00
Fractional coordinates of all 5 atoms:
Cs  0.000  0.000  0.000
Ti  0.000  0.500  0.500
Ti  0.500  0.000  0.500
Ti  0.500  0.500  0.000
F  0.500  0.500  0.500

Calculated values
ΔE_f (raw)   0.505 eV/atom

No. 2
DFT (PBE) results for a relaxed structure of HoErAlAg.

Lattice parameters (Å, degrees): 5.119 5.119 5.119 60.00 60.00 60.00
Fractional coordinates of all 4 atoms:
Ho  0.000  0.000  0.000
Er  0.500  0.500  0.500
Al  0.250  0.250  0.250
Ag  0.750  0.750  0.750

Calculated values
Calculated formation energy   -0.349 eV/atom
Energy relative to the lowest polymorph listed for this composition   17.6 meV/atom

No. 3
DFT (PBE) results for a relaxed structure of Pr6SmMg2.

Lattice parameters (Å, degrees): 6.203 6.203 8.896 90.00 90.00 119.66
Fractional coordinates of all 9 atoms:
Pr  0.172  0.342  0.662
Pr  0.173  0.827  0.000
Pr  0.342  0.172  0.338
Pr  0.658  0.828  0.338
Pr  0.827  0.173  0.000
Pr  0.828  0.658  0.662
Sm  0.500  0.500  0.000
Mg  0.000  0.500  0.329
Mg  0.500  0.000  0.671

Calculated values
Calculated formation energy   0.054 eV/atom

no.,density of states at the Fermi level (states/eV/atom)
1,0.32
2,0.84
3,1.33